Rb2NaW2O7: optimized geometry, PBE+U.

Cell lengths 3.9895, 3.9895, 11.5814 Å; angles 80.08, 80.08, 90.00 degrees
Fractional positions:
1 Rb 0.8103 0.8103 0.3794
2 Rb 0.1897 0.1897 0.6206
3 Na 0.0000 0.0000 0.0000
4 W 0.5889 0.5889 0.8218
5 W 0.4111 0.4111 0.1782
6 O 0.5000 0.5000 0.0000
7 O 0.3276 0.3276 0.3447
8 O 0.6724 0.6724 0.6553
9 O 0.9150 0.4151 0.1702
10 O 0.4151 0.9150 0.1702
11 O 0.5849 0.0850 0.8298
12 O 0.0850 0.5849 0.8298

## Properties
SG	No. 139
calculated volume	179	Å³ per cell
electronic total energy	-6.34	eV/atom
DOS at the Fermi energy	0.08	states/eV per atom